# HfAs2CSe

A relaxed structure of HfAs2CSe (PBEsol, Alexandria via LeMat-Bulk).

Its formation energy (no corrections) is 1.52 eV/atom. For the distance to the lowest polymorph of the same formula, the calculation gives 920.9 meV per atom.

It has space group P4/mmm (No. 123), with a = 5.0973 Å, b = 5.0973 Å, c = 4.9905 Å, α = 90.00°, β = 90.00° and γ = 90.00°. The distinct sites, in fractional coordinates, are Hf at (0.0000, 0.0000, 0.0000), As at (0.0000, 0.5000, 0.0000), C at (0.5000, 0.5000, 0.5000) and Se at (0.0000, 0.0000, 0.5000).



# LaBeNi2

A relaxed structure of LaBeNi2 (PBEsol, Alexandria via LeMat-Bulk).

The value obtained for the formation enthalpy at 0 K is 197 meV per atom.

It has space group C2/m (No. 12), with a = 6.1799 Å, b = 6.1791 Å, c = 3.1899 Å, α = 90.00°, β = 90.18° and γ = 90.00°. The distinct sites, in fractional coordinates, are La at (0.0000, 0.0000, 0.0000), Be at (0.0000, 0.5000, 0.0000) and Ni at (0.2500, 0.2500, 0.5000).



# ErInPt

A relaxed structure of ErInPt (PBEsol, Alexandria via LeMat-Bulk).

The value obtained for the formation enthalpy at 0 K is -1021 meV per atom.

It has space group P-62m (No. 189), with a = 7.4838 Å, b = 7.4838 Å, c = 3.8266 Å, α = 90.00°, β = 90.00° and γ = 120.00°. The distinct sites, in fractional coordinates, are Er at (0.0000, 0.4066, 0.0000), In at (0.0000, 0.7396, 0.5000), Pt at (0.0000, 0.0000, 0.0000) and Pt at (0.3333, 0.6667, 0.5000).



# Rb2Bi2I

A relaxed structure of Rb2Bi2I (PBEsol, Alexandria via LeMat-Bulk).

Its formation energy (no corrections) is -0.27 eV/atom. For the distance to the lowest polymorph of the same formula, the calculation gives 157.5 meV per atom.

It has space group I4/mmm (No. 139), with a = 6.9665 Å, b = 6.9665 Å, c = 10.3140 Å, α = 90.00°, β = 90.00° and γ = 90.00°. The distinct sites, in fractional coordinates, are Rb at (0.0000, 0.5000, 0.2500), Bi at (0.0000, 0.0000, 0.1325) and I at (0.0000, 0.0000, 0.5000).



# CsTl2Hg2

A relaxed structure of CsTl2Hg2 (PBEsol, Alexandria via LeMat-Bulk).

For the distance to the lowest polymorph of the same formula, the calculation gives 32.9 meV per atom. The value obtained for the formation enthalpy at 0 K is -93 meV per atom.

It has space group P4/mbm (No. 127), with a = 9.3662 Å, b = 9.3662 Å, c = 3.4855 Å, α = 90.00°, β = 90.00° and γ = 90.00°. The distinct sites, in fractional coordinates, are Cs at (0.0000, 0.0000, 0.0000), Tl at (0.1300, 0.3700, 0.0000) and Hg at (0.1609, 0.6609, 0.5000).



# ZrTaCo6

A relaxed structure of ZrTaCo6 (PBEsol, Alexandria via LeMat-Bulk).

The value obtained for the formation enthalpy at 0 K is -220 meV per atom.

It has space group Cmmm (No. 65), with a = 7.2432 Å, b = 10.2399 Å, c = 10.2450 Å, α = 90.00°, β = 90.00° and γ = 90.00°. The distinct sites, in fractional coordinates, are Zr at (0.0000, 0.0000, 0.2503), Zr at (0.0000, 0.2485, 0.0000), Ta at (0.0000, 0.2483, 0.5000), Ta at (0.0000, 0.5000, 0.2502), Co at (0.0000, 0.0000, 0.0000), Co at (0.0000, 0.0000, 0.5000), Co at (0.0000, 0.2529, 0.2545), Co at (0.0000, 0.5000, 0.0000), Co at (0.0000, 0.5000, 0.5000), Co at (0.2460, 0.3739, 0.3778) and Co at (0.2456, 0.3760, 0.1279).



Number 1: density of states at the Fermi level 1.155 states/eV/atom, VASP energy -5.327 eV per atom. Number 2: density of states at the Fermi level 0.650 states/eV/atom, VASP energy -5.218 eV per atom. Number 3: density of states at the Fermi level 0.718 states/eV/atom, VASP energy -5.979 eV per atom. Number 4: density of states at the Fermi level 0.624 states/eV/atom, VASP energy -2.749 eV per atom. Number 5: density of states at the Fermi level 0.537 states/eV/atom, VASP energy -1.560 eV per atom. Number 6: density of states at the Fermi level 1.278 states/eV/atom, VASP energy -8.727 eV per atom.